14
Lattice="-3.016 3.034 4.203 3.016 -3.034 4.203 3.016 3.034 -4.203" Properties=species:S:1:pos:R:3 comment="MgV2O4 GGA+U relaxed" total_energy_ev_per_atom=-7.355 total_magnetization_mub_per_fu=4.0 sg="Imma (74)" e_above_lowest_polymorph_mev_per_atom=89 rho_g_cm3=4.105 pbc="T T T"
Mg 0.000 0.000 0.000
Mg 0.000 3.034 0.000
V 3.016 0.000 0.000
V -1.508 1.517 2.102
V 0.000 0.000 4.203
V 1.508 1.517 2.102
O 1.538 1.517 0.044
O 4.495 1.517 0.044
O 3.016 0.182 2.057
O 0.000 0.182 2.147
O 3.016 2.852 2.057
O 0.000 2.852 2.147
O -1.479 1.517 4.159
O 1.479 1.517 4.159